# Hf4Ni2H, relaxed, DFT PBE
data_Hf4Ni2H
_cell_length_a 13.1259
_cell_length_b 3.3377
_cell_length_c 5.5156
_cell_angle_alpha 90.00
_cell_angle_beta 108.50
_cell_angle_gamma 90.00
_space_group_name_H-M_alt 'C 1 2/m 1'
_space_group_IT_number 12
_space_group_name_Hall '-C 2y'
loop_
_atom_site_label
_atom_site_type_symbol
_atom_site_fract_x
_atom_site_fract_y
_atom_site_fract_z
Hf1 Hf 0.0820 0.0000 0.2531
Hf2 Hf 0.1385 0.5000 0.8089
Ni1 Ni 0.2367 0.5000 0.3262
H1 H 0.0000 0.0000 0.5000
# size of the total moment = 0.00 μB per cell
# E = -8.046 eV per atom
# Fermi-level density of states = 11.6 states/eV per cell